Record 1
# YZr9O20

An optimized crystal structure of YZr9O20 (GGA-PBE, Alexandria via LeMat-Bulk).

Results
SG: P1
E_tot, eV per cell: -279.86
ΔE_f (raw), eV/atom: -3.24

abc: 6.4574 7.4006 8.2083
angles: 77.38 75.47 72.32
Last column: nearest neighbours and their distance in Å.
Fractional coordinates of all 30 atoms:
Y1 0.0000 0.0000 0.0000  8 O 2.23-2.49
Zr1 0.0007 0.4989 0.9940  5 O 2.10-2.35
Zr2 0.1965 0.2992 0.6013  4 O 2.09-2.11
Zr3 0.2024 0.7975 0.6025  4 O 2.08-2.11
Zr4 0.3946 0.5979 0.2024  4 O 2.08-2.12
Zr5 0.4020 0.0949 0.1986  6 O 2.11-2.34
Zr6 0.5999 0.3976 0.8011  4 O 2.08-2.11
Zr7 0.6014 0.8959 0.8022  4 O 2.10-2.12
Zr8 0.7969 0.6997 0.3990  4 O 2.09-2.10
Zr9 0.7996 0.1989 0.4004  4 O 2.07-2.11
O1 0.0156 0.6724 0.1639  2 Zr 2.09-2.13
O2 0.0800 0.2262 0.1444  2 Zr 2.11-2.12
O3 0.1111 0.0740 0.4648  2 Zr 2.09-2.10
O4 0.1784 0.6241 0.4418  2 Zr 2.09-2.12
O5 0.2266 0.4730 0.7605  2 Zr 2.10
O6 0.2865 0.0189 0.7354  2 Zr 2.11-2.12
O7 0.3345 0.8749 0.0675  1 Zr 2.08, 1 Y 2.23
O8 0.3814 0.4235 0.0372  2 Zr 2.10
O9 0.4001 0.2828 0.3602  2 Zr 2.09-2.12
O10 0.4779 0.8210 0.3476  2 Zr 2.09-2.11
O11 0.5183 0.6760 0.6647  2 Zr 2.10-2.11
O12 0.5827 0.2233 0.6355  2 Zr 2.09-2.11
O13 0.6123 0.0860 0.9555  2 Zr 2.11-2.12
O14 0.6783 0.6199 0.9437  2 Zr 2.10-2.11
O15 0.7072 0.4776 0.2645  2 Zr 2.09-2.11
O16 0.7611 0.0249 0.2494  1 Zr 2.07, 1 Y 2.24
O17 0.8106 0.8782 0.5606  2 Zr 2.10-2.11
O18 0.8843 0.4216 0.5329  2 Zr 2.09-2.11
O19 0.9188 0.2955 0.8507  1 Zr 2.08, 1 Y 2.24
O20 0.9772 0.8074 0.8326  1 Zr 2.08, 1 Y 2.24

---

Record 2
# YZrCoRu

An optimized crystal structure of YZrCoRu (GGA-PBE, Alexandria via LeMat-Bulk).

Results
SG: F-43m
E_tot, eV per cell: -32.66

abc: 4.6806 4.6806 4.6806
angles: 60.00 60.00 60.00
Last column: nearest neighbours and their distance in Å.
Fractional coordinates of all 4 atoms:
Y1 0.0000 0.0000 0.0000  4 Co 2.87, 4 Ru 2.87
Zr1 0.5000 0.5000 0.5000  4 Co 2.87, 4 Ru 2.87
Co1 0.7500 0.7500 0.7500  4 Y 2.87, 4 Zr 2.87
Ru1 0.2500 0.2500 0.2500  4 Zr 2.87, 4 Y 2.87

---

Record 3
# PmSmZr2

An optimized crystal structure of PmSmZr2 (GGA-PBE, Alexandria via LeMat-Bulk).

Results
SG: P4/mmm
E_tot, eV per cell: -25.84
ΔE to the lowest computed polymorph, eV per atom: 0.000

abc: 4.7241 4.7241 4.9486
angles: 90.00 90.00 90.00
Last column: nearest neighbours and their distance in Å.
Fractional coordinates of all 4 atoms:
Pm1 0.0000 0.0000 0.0000  4 Sm 3.34, 8 Zr 3.42
Sm1 0.5000 0.5000 0.0000  4 Pm 3.34, 8 Zr 3.42
Zr1 0.0000 0.5000 0.5000  4 Zr 3.34, 4 Pm 3.42, 4 Sm 3.42
Zr2 0.5000 0.0000 0.5000  4 Zr 3.34, 4 Pm 3.42, 4 Sm 3.42

---

Record 4
# Te8As

An optimized crystal structure of Te8As (GGA-PBE, Alexandria via LeMat-Bulk).

Results
SG: I4/mmm
E_tot, eV per cell: -28.08
ΔE_f (raw), eV/atom: 0.19

abc: 9.2600 9.2600 9.2600
angles: 92.91 92.91 153.98
Last column: nearest neighbours and their distance in Å.
Fractional coordinates of all 9 atoms:
Te1 0.0000 0.2243 0.2243  1 As 2.86, 4 Te 3.15
Te2 0.0000 0.7757 0.7757  1 As 2.86, 4 Te 3.15
Te3 0.2243 0.0000 0.2243  1 As 2.86, 4 Te 3.15
Te4 0.3210 0.3210 0.6420  6 Te 3.15-3.30
Te5 0.3210 0.6790 0.0000  6 Te 3.15-3.30
Te6 0.6790 0.3210 0.0000  6 Te 3.15-3.30
Te7 0.6790 0.6790 0.3580  6 Te 3.15-3.30
Te8 0.7757 0.0000 0.7757  1 As 2.86, 4 Te 3.15
As1 0.0000 0.0000 0.0000  4 Te 2.86

---

Record 5
# RbNb2FeW

An optimized crystal structure of RbNb2FeW (GGA-PBE, Alexandria via LeMat-Bulk).

Results
SG: P4/mmm
E_tot, eV per cell: -31.54

abc: 4.8839 4.8839 5.8194
angles: 90.00 90.00 90.00
Last column: nearest neighbours and their distance in Å.
Fractional coordinates of all 5 atoms:
Rb1 0.0000 0.0000 0.0000  2 W 2.91
Nb1 0.0000 0.5000 0.5000  2 W 2.44
Nb2 0.5000 0.0000 0.5000  2 W 2.44
Fe1 0.5000 0.5000 0.0000  4 Rb 3.45, 8 Nb 3.80
W1 0.0000 0.0000 0.5000  4 Nb 2.44

---

Repeat the first record exactly.
# YZr9O20

An optimized crystal structure of YZr9O20 (GGA-PBE, Alexandria via LeMat-Bulk).

Results
SG: P1
E_tot, eV per cell: -279.86
ΔE_f (raw), eV/atom: -3.24

abc: 6.4574 7.4006 8.2083
angles: 77.38 75.47 72.32
Last column: nearest neighbours and their distance in Å.
Fractional coordinates of all 30 atoms:
Y1 0.0000 0.0000 0.0000  8 O 2.23-2.49
Zr1 0.0007 0.4989 0.9940  5 O 2.10-2.35
Zr2 0.1965 0.2992 0.6013  4 O 2.09-2.11
Zr3 0.2024 0.7975 0.6025  4 O 2.08-2.11
Zr4 0.3946 0.5979 0.2024  4 O 2.08-2.12
Zr5 0.4020 0.0949 0.1986  6 O 2.11-2.34
Zr6 0.5999 0.3976 0.8011  4 O 2.08-2.11
Zr7 0.6014 0.8959 0.8022  4 O 2.10-2.12
Zr8 0.7969 0.6997 0.3990  4 O 2.09-2.10
Zr9 0.7996 0.1989 0.4004  4 O 2.07-2.11
O1 0.0156 0.6724 0.1639  2 Zr 2.09-2.13
O2 0.0800 0.2262 0.1444  2 Zr 2.11-2.12
O3 0.1111 0.0740 0.4648  2 Zr 2.09-2.10
O4 0.1784 0.6241 0.4418  2 Zr 2.09-2.12
O5 0.2266 0.4730 0.7605  2 Zr 2.10
O6 0.2865 0.0189 0.7354  2 Zr 2.11-2.12
O7 0.3345 0.8749 0.0675  1 Zr 2.08, 1 Y 2.23
O8 0.3814 0.4235 0.0372  2 Zr 2.10
O9 0.4001 0.2828 0.3602  2 Zr 2.09-2.12
O10 0.4779 0.8210 0.3476  2 Zr 2.09-2.11
O11 0.5183 0.6760 0.6647  2 Zr 2.10-2.11
O12 0.5827 0.2233 0.6355  2 Zr 2.09-2.11
O13 0.6123 0.0860 0.9555  2 Zr 2.11-2.12
O14 0.6783 0.6199 0.9437  2 Zr 2.10-2.11
O15 0.7072 0.4776 0.2645  2 Zr 2.09-2.11
O16 0.7611 0.0249 0.2494  1 Zr 2.07, 1 Y 2.24
O17 0.8106 0.8782 0.5606  2 Zr 2.10-2.11
O18 0.8843 0.4216 0.5329  2 Zr 2.09-2.11
O19 0.9188 0.2955 0.8507  1 Zr 2.08, 1 Y 2.24
O20 0.9772 0.8074 0.8326  1 Zr 2.08, 1 Y 2.24

---

Q: Which value of E_tot does entry 3 give?
A: -25.84 eV per cell